Entry 1:
Here is an optimized crystal structure of SmBe3Rh3 from Alexandria. Energies are from GGA-PBE.

Values from the calculation:
SG: No. 223
VASP energy, eV per cell: -79.71
ΔE_f, meV per atom: -272
Magnetic moment, μB/cell: 0.00

Unit cell a=6.0258 b=6.0258 c=6.0258 alpha=90.00 beta=90.00 gamma=90.00
Positions (direct):
Sm: 0.0000 0.0000 0.0000
Sm: 0.5000 0.5000 0.5000
Be: 0.0000 0.2500 0.5000
Be: 0.0000 0.7500 0.5000
Be: 0.2500 0.5000 0.0000
Be: 0.5000 0.0000 0.2500
Be: 0.5000 0.0000 0.7500
Be: 0.7500 0.5000 0.0000
Rh: 0.0000 0.5000 0.2500
Rh: 0.0000 0.5000 0.7500
Rh: 0.2500 0.0000 0.5000
Rh: 0.5000 0.2500 0.0000
Rh: 0.5000 0.7500 0.0000
Rh: 0.7500 0.0000 0.5000



Entry 2:
Here is an optimized crystal structure of Pm8Er2Tm3 from Alexandria. Energies are from GGA-PBE.

Values from the calculation:
SG: No. 71
VASP energy, eV per cell: -59.47
ΔE_f, meV per atom: 83
Magnetic moment, μB/cell: 0.00

Unit cell a=11.8440 b=11.8440 c=11.8440 alpha=162.21 beta=121.74 gamma=61.43
Positions (direct):
Pm: 0.0761 0.0761 0.0000
Pm: 0.0790 0.8308 0.2482
Pm: 0.3697 0.3697 0.0000
Pm: 0.4174 0.1692 0.2482
Pm: 0.5826 0.8308 0.7518
Pm: 0.6303 0.6303 0.0000
Pm: 0.9210 0.1692 0.7518
Pm: 0.9239 0.9239 0.0000
Er: 0.2230 0.7230 0.5000
Er: 0.7770 0.2770 0.5000
Tm: 0.2391 0.5000 0.7391
Tm: 0.5000 0.0000 0.5000
Tm: 0.7609 0.5000 0.2609



Entry 3:
Here is an optimized crystal structure of Y3FeNi from Alexandria. Energies are from GGA-PBE.

Values from the calculation:
Energy above the lowest structure with this stoichiometry, eV/atom: 0.0000
SG: No. 221
VASP energy, eV per cell: -31.94
ΔE_f, meV per atom: 340
Magnetic moment, μB/cell: 0.00

Unit cell a=5.0718 b=5.0718 c=5.0718 alpha=90.00 beta=90.00 gamma=90.00
Positions (direct):
Y: 0.0000 0.0000 0.5000
Y: 0.0000 0.5000 0.0000
Y: 0.5000 0.0000 0.0000
Fe: 0.0000 0.0000 0.0000
Ni: 0.5000 0.5000 0.5000